[1]
Here is ThTi2Pb after structural relaxation from Alexandria. Energies are from PBE.

Structure (extended XYZ):
```
4
Lattice="-1.1611 2.6098 -2.5001 -4.5681 -1.0349 1.0414 0.0344 3.3271 3.4572" Properties=species:S:1:pos:R:3 pbc="T T T"
Ti 0.0172 1.6636 1.7286
Ti -2.2841 -0.5174 0.5207
Pb -2.8474 2.4510 0.9992
Th -0.5806 1.3049 -1.2500
```

Computed properties:
The formation energy is -0.32 kcal/mol of atoms. For the raw total energy, the calculation gives -6.743 eV per atom. The value obtained for the total moment is 0.0 Bohr magnetons per cell. The calculation puts the polymorph energy (0 for the lowest one) at 0 meV per atom. The calculation puts the density of states at the Fermi level at 4.298 states/eV per cell.

=====

[2]
Here is ScSnBiO2 after structural relaxation from Alexandria. Energies are from PBE.

Structure (extended XYZ):
```
5
Lattice="4.0225 0.0000 0.0000 0.0000 4.0225 0.0000 0.0000 0.0000 8.5180" Properties=species:S:1:pos:R:3 pbc="T T T"
Sc 0.0000 0.0000 4.2590
O 2.0112 0.0000 0.0000
O 0.0000 2.0112 0.0000
Sn 0.0000 0.0000 0.0000
Bi 2.0112 2.0112 4.2590
```

Computed properties:
For the raw total energy, the calculation gives -5.272 eV per atom. The value obtained for the total moment is 0.0 Bohr magnetons per cell. The uncorrected formation energy comes out at -0.45 eV per atom. The calculation puts the density of states at the Fermi level at 1.286 states/eV per cell.

=====

[3]
Here is MgBr after structural relaxation from Alexandria. Energies are from PBE.

Structure (extended XYZ):
```
4
Lattice="4.8655 0.0000 0.0000 0.0000 4.8655 0.0000 0.0000 0.0000 5.2454" Properties=species:S:1:pos:R:3 pbc="T T T"
Mg 1.2164 1.2164 1.4906
Mg 3.6492 3.6492 3.7547
Br 3.6492 1.2164 0.0000
Br 1.2164 3.6492 0.0000
```

Computed properties:
For the raw total energy, the calculation gives -2.125 eV per atom. The value obtained for the total moment is 0.0 Bohr magnetons per cell. The uncorrected formation energy comes out at -0.49 eV per atom. The calculation puts the density of states at the Fermi level at 2.651 states/eV per cell.

=====

[4]
Here is TlAgBiF5 after structural relaxation from Alexandria. Energies are from PBE.

Structure (extended XYZ):
```
16
Lattice="-2.4644 3.4594 -4.8341 1.2181 -6.0644 -1.7746 -7.3898 -1.6288 3.8241" Properties=species:S:1:pos:R:3 pbc="T T T"
F -7.6764 1.3835 -1.6916
F -7.8511 -4.1061 -0.6441
F -2.8014 1.2310 -4.6711
F -5.8347 -5.4648 1.8866
F -0.7850 -0.1277 -2.1404
F -4.4948 1.4401 -1.9821
F -4.1413 -5.6739 -0.8024
F -3.9468 -2.3206 0.2145
F -0.9597 -5.6173 -1.0929
F -4.6893 -1.9132 -2.9990
Bi -3.6949 -0.8144 1.9121
Bi 0.0000 0.0000 0.0000
Ag -3.0303 -0.2623 -2.8133
Ag -5.6059 -3.9715 0.0287
Tl -1.9525 -3.0497 -1.9178
Tl -6.6837 -1.1841 -0.8667
```

Computed properties:
For the raw total energy, the calculation gives -4.212 eV per atom. The value obtained for the total moment is 0.0 Bohr magnetons per cell. The uncorrected formation energy comes out at -1.91 eV per atom. The calculation puts the density of states at the Fermi level at 0.000 states/eV per cell.

=====

[5]
Here is TaSICl2 after structural relaxation from Alexandria. Energies are from PBE.

Structure (extended XYZ):
```
5
Lattice="-4.2308 -1.4149 3.0874 -0.9057 -4.2833 -3.2042 3.1193 -2.8724 2.9581" Properties=species:S:1:pos:R:3 pbc="T T T"
S 1.5596 -1.4362 1.4791
Cl -0.4529 -2.1417 -1.6021
Cl -2.1154 -0.7075 1.5437
I 0.0000 0.0000 0.0000
Ta -1.0086 -4.2853 1.4207
```

Computed properties:
For the raw total energy, the calculation gives -2.669 eV per atom. The value obtained for the total moment is 0.0 Bohr magnetons per cell. The uncorrected formation energy comes out at 1.58 eV per atom. The calculation puts the polymorph energy (0 for the lowest one) at 1942 meV per atom. The calculation puts the density of states at the Fermi level at 9.488 states/eV per cell.

=====

[6]
Here is GdDyTiIn after structural relaxation from Alexandria. Energies are from PBE.

Structure (extended XYZ):
```
4
Lattice="-0.9523 -5.0281 1.2835 2.5268 -3.8888 -2.5157 3.6772 -2.8209 2.5214" Properties=species:S:1:pos:R:3 pbc="T T T"
In 1.3129 -2.9345 0.3223
Dy 0.0000 0.0000 0.0000
Gd 2.6258 -5.8689 0.6446
Ti 3.9387 -8.8034 0.9669
```

Computed properties:
The formation energy is -2.20 kcal/mol of atoms. For the raw total energy, the calculation gives -7.424 eV per atom. The value obtained for the total moment is 9.9 Bohr magnetons per cell. The calculation puts the density of states at the Fermi level at 5.289 states/eV per cell.

=====

Which of these has the highest raw total energy? MgBr

=====

raw total energy of number 6 (GdDyTiIn)? -7.424 eV per atom

=====

Repeat the first record exactly.
Here is ThTi2Pb after structural relaxation from Alexandria. Energies are from PBE.

Structure (extended XYZ):
```
4
Lattice="-1.1611 2.6098 -2.5001 -4.5681 -1.0349 1.0414 0.0344 3.3271 3.4572" Properties=species:S:1:pos:R:3 pbc="T T T"
Ti 0.0172 1.6636 1.7286
Ti -2.2841 -0.5174 0.5207
Pb -2.8474 2.4510 0.9992
Th -0.5806 1.3049 -1.2500
```

Computed properties:
The formation energy is -0.32 kcal/mol of atoms. For the raw total energy, the calculation gives -6.743 eV per atom. The value obtained for the total moment is 0.0 Bohr magnetons per cell. The calculation puts the polymorph energy (0 for the lowest one) at 0 meV per atom. The calculation puts the density of states at the Fermi level at 4.298 states/eV per cell.